Entry 1:
Density functional theory data (PBE-GGA) for a geometry-optimized SiAu2Se structure.

```
4
Lattice="3.3173 -1.9451 0.0000 3.3173 1.9451 0.0000 -2.2583 0.0000 5.9708" Properties=species:S:1:pos:R:3 pbc="T T T"
Si 0.0000 0.0000 0.0000
Au -0.0378 0.0000 4.6665
Au 4.4141 0.0000 1.3043
Se 2.1882 0.0000 2.9854
```

space group	C2/m, No. 12
energy	-0.2790	Ry per atom
polymorph energy (0 for the lowest one)	0.038	eV/atom
formation energy without anion corrections	0.07	eV/atom


Entry 2:
Density functional theory data (PBE-GGA) for a geometry-optimized SiAuSe structure.

```
3
Lattice="4.9358 0.0000 0.0000 -2.4679 4.2745 0.0000 0.0000 0.0000 2.7408" Properties=species:S:1:pos:R:3 pbc="T T T"
Si 0.0000 0.0000 0.0000
Au 2.4679 1.4248 0.0000
Se 0.0000 2.8497 0.0000
```

space group	P-6m2, No. 187
energy	-0.2752	Ry per atom
formation energy without anion corrections	0.32	eV/atom


Entry 3:
Density functional theory data (PBE-GGA) for a geometry-optimized SiAu2Se structure.

```
4
Lattice="3.9016 0.0000 0.0000 0.0000 3.9016 0.0000 0.0000 0.0000 5.0461" Properties=species:S:1:pos:R:3 pbc="T T T"
Si 0.0000 0.0000 0.0000
Au 0.0000 1.9508 2.5231
Au 1.9508 0.0000 2.5231
Se 1.9508 1.9508 0.0000
```

space group	P4/mmm, No. 123
energy	-0.2613	Ry per atom
polymorph energy (0 for the lowest one)	0.280	eV/atom
formation energy without anion corrections	0.31	eV/atom


Entry 4:
Density functional theory data (PBE-GGA) for a geometry-optimized SiAuSe2 structure.

```
4
Lattice="2.8088 0.0000 0.0000 0.0000 3.7842 0.0000 0.0000 0.0000 7.4623" Properties=species:S:1:pos:R:3 pbc="T T T"
Si 0.0000 0.0000 0.0000
Au 0.0000 0.0000 3.7312
Se 1.4044 1.8921 1.7609
Se 1.4044 1.8921 5.7014
```

space group	Pmmm, No. 47
energy	-0.2572	Ry per atom
formation energy without anion corrections	0.42	eV/atom


Entry 5:
Density functional theory data (PBE-GGA) for a geometry-optimized SiAuSe2 structure.

```
4
Lattice="3.7160 0.0000 0.0000 0.0000 3.7160 0.0000 0.0000 0.0000 6.4956" Properties=species:S:1:pos:R:3 pbc="T T T"
Si 0.0000 0.0000 0.0000
Au 1.8580 1.8580 0.0000
Se 0.0000 1.8580 3.2478
Se 1.8580 0.0000 3.2478
```

space group	P4/mmm, No. 123
energy	-0.2565	Ry per atom
formation energy without anion corrections	0.43	eV/atom


Entry 6:
Density functional theory data (PBE-GGA) for a geometry-optimized SiAu2Se structure.

```
4
Lattice="3.0413 0.0000 0.0000 0.0000 3.0413 0.0000 0.0000 0.0000 7.8999" Properties=species:S:1:pos:R:3 pbc="T T T"
Si 0.0000 0.0000 0.0000
Au 0.0000 0.0000 3.7206
Au 1.5207 1.5207 1.6532
Se 1.5207 1.5207 5.8941
```

space group	P4mm, No. 99
energy	-0.2607	Ry per atom
polymorph energy (0 for the lowest one)	0.288	eV/atom
formation energy without anion corrections	0.32	eV/atom


Entry 7:
Density functional theory data (PBE-GGA) for a geometry-optimized SiAuSe2 structure.

```
4
Lattice="2.8644 0.0000 0.0000 0.0000 5.3228 0.0000 -0.0261 0.0000 5.4321" Properties=species:S:1:pos:R:3 pbc="T T T"
Si 0.0000 0.0000 0.0000
Au -0.0049 2.6614 2.5355
Se -0.0206 2.6614 5.2307
Se -0.0027 0.0000 2.4472
```

space group	Pm, No. 6
energy	-0.2790	Ry per atom
formation energy without anion corrections	0.12	eV/atom


Entry 8:
Density functional theory data (PBE-GGA) for a geometry-optimized SiAu2Se structure.

```
4
Lattice="-1.6515 2.0607 5.7358 1.6515 -2.0607 5.7358 1.6515 2.0607 -5.7358" Properties=species:S:1:pos:R:3 pbc="T T T"
Si 0.0000 0.0000 0.0000
Au 1.6515 0.0000 2.2671
Au 0.0000 0.0000 6.1064
Se 0.0000 2.0607 3.8297
```

space group	Imm2, No. 44
energy	-0.2721	Ry per atom
polymorph energy (0 for the lowest one)	0.133	eV/atom
formation energy without anion corrections	0.16	eV/atom